NiHgOF2: relaxed, PBE+U.

Unit cell a=4.450 b=4.450 c=4.165 alpha=90.00 beta=90.00 gamma=90.00
Fractional positions:
Ni 0.000 0.000 0.000
Hg 0.500 0.500 0.500
O 0.500 0.500 0.000
F 0.000 0.500 0.500
F 0.500 0.000 0.500

* symmetry: P4/mmm, No. 123
* uncorrected energy: -2.578 eV per atom